KLaRe2: optimized geometry, GGA-PBEsol.

Results
Fermi-level density of states: 0.6417 states/eV/atom
SG: No. 123
ΔE_f: 121.5 kJ/mol of atoms

Cell: 3.8335 3.8335 5.3448 Å, 90.00 90.00 90.00°
With the nearest neighbours (Å) after each atom.
Atoms (fractional coordinates):
K1 0.0000 0.0000 0.0000  4 La 2.71
La1 0.5000 0.5000 0.0000  4 K 2.71
Re1 0.0000 0.5000 0.5000  4 Re 2.71
Re2 0.5000 0.0000 0.5000  4 Re 2.71